Record 1
The following is a PBE-GGA calculation of a geometry-optimized Cd2Ag2Sn structure, from the Alexandria database.

The value obtained for the final energy is -22.2 eV/cell. The value obtained for the density of states at the Fermi level is 3.05 states/eV per cell. The calculation puts the mass density at 8.1 Mg/m³.

It has space group I4/mmm (No. 139), with a = 4.0530 Å, b = 4.0530 Å, c = 13.8919 Å, α = 90.00°, β = 90.00° and γ = 90.00°. The distinct sites, in fractional coordinates, are Cd at (0.0000, 0.5000, 0.2500), Ag at (0.0000, 0.0000, 0.0984) and Sn at (0.0000, 0.0000, 0.5000).

Record 2
The following is a PBE-GGA calculation of a geometry-optimized Cd3Ag12Sn structure, from the Alexandria database.

The value obtained for the final energy is -41.3 eV/cell. The value obtained for the density of states at the Fermi level is 5.08 states/eV per cell. The calculation puts the mass density at 9.7 Mg/m³.

It has space group P4/mmm (No. 123), with a = 4.1626 Å, b = 4.1626 Å, c = 17.3064 Å, α = 90.00°, β = 90.00° and γ = 90.00°. The distinct sites, in fractional coordinates, are Cd at (0.0000, 0.0000, 0.0000), Cd at (0.0000, 0.0000, 0.2484), Ag at (0.0000, 0.5000, 0.1241), Ag at (0.0000, 0.5000, 0.3726), Ag at (0.5000, 0.5000, 0.0000), Ag at (0.5000, 0.5000, 0.2489), Ag at (0.5000, 0.5000, 0.5000) and Sn at (0.0000, 0.0000, 0.5000).

Record 3
The following is a PBE-GGA calculation of a geometry-optimized Cd7Ag5Sn structure, from the Alexandria database.

The value obtained for the final energy is -49.6 eV/cell. The value obtained for the density of states at the Fermi level is 11.14 states/eV per cell. The calculation puts the mass density at 8.6 Mg/m³.

It has space group Imm2 (No. 44), with a = 5.7612 Å, b = 9.8667 Å, c = 9.7677 Å, α = 90.00°, β = 90.00° and γ = 90.00°. The distinct sites, in fractional coordinates, are Cd at (0.0000, 0.0000, 0.0000), Cd at (0.0000, 0.0000, 0.3133), Cd at (0.0000, 0.3058, 0.1465), Cd at (0.0000, 0.3422, 0.6538), Cd at (0.0000, 0.5000, 0.3778), Ag at (0.0000, 0.5000, 0.9177), Ag at (0.2504, 0.2492, 0.8997) and Sn at (0.0000, 0.0000, 0.6493).

Record 4
The following is a PBE-GGA calculation of a geometry-optimized Cd2AgSn2 structure, from the Alexandria database.

The value obtained for the final energy is -24.2 eV/cell. The value obtained for the density of states at the Fermi level is 3.83 states/eV per cell. The calculation puts the mass density at 7.4 Mg/m³.

It has space group P4/mbm (No. 127), with a = 7.4310 Å, b = 7.4310 Å, c = 4.6391 Å, α = 90.00°, β = 90.00° and γ = 90.00°. The distinct sites, in fractional coordinates, are Cd at (0.1630, 0.3370, 0.0000), Ag at (0.0000, 0.0000, 0.5000) and Sn at (0.1483, 0.6483, 0.5000).

Record 5
The following is a PBE-GGA calculation of a geometry-optimized Cd8Ag6Sn structure, from the Alexandria database.

The value obtained for the final energy is -81.6 eV/cell. The value obtained for the density of states at the Fermi level is 10.59 states/eV per cell. The calculation puts the mass density at 7.8 Mg/m³.

It has space group R-3 (No. 148, hexagonal axes), with a = 9.9195 Å, b = 9.9195 Å, c = 12.5491 Å, α = 90.00°, β = 90.00° and γ = 120.00°. The distinct sites, in fractional coordinates, are Cd at (0.0000, 0.0000, 0.2275), Cd at (0.0338, 0.4068, 0.7376), Ag at (0.0474, 0.8509, 0.4046) and Sn at (0.0000, 0.0000, 0.0000).

Record 6
The following is a PBE-GGA calculation of a geometry-optimized Cd6Ag5Sn structure, from the Alexandria database.

The value obtained for the final energy is -47.6 eV/cell. The value obtained for the density of states at the Fermi level is 6.49 states/eV per cell. The calculation puts the mass density at 9.1 Mg/m³.

It has space group C2/m (No. 12), with a = 9.7775 Å, b = 12.5247 Å, c = 4.4094 Å, α = 90.00°, β = 115.15° and γ = 90.00°. The distinct sites, in fractional coordinates, are Cd at (0.2315, 0.0000, 0.2310), Cd at (0.2388, 0.1695, 0.7378), Ag at (0.0000, 0.0000, 0.5000), Ag at (0.0000, 0.1709, 0.0000), Ag at (0.0000, 0.3338, 0.5000) and Sn at (0.0000, 0.5000, 0.0000).

Record 7
The following is a PBE-GGA calculation of a geometry-optimized Cd3AgSn structure, from the Alexandria database.

The value obtained for the final energy is -17.9 eV/cell. The value obtained for the density of states at the Fermi level is 3.64 states/eV per cell. The calculation puts the mass density at 7.5 Mg/m³.

It has space group P6_3/mmc (No. 194), with a = 7.0489 Å, b = 7.0489 Å, c = 5.7675 Å, α = 90.00°, β = 90.00° and γ = 120.00°. The distinct sites, in fractional coordinates, are Cd at (0.1957, 0.3914, 0.2500), Ag at (0.0000, 0.0000, 0.0000) and Sn at (0.3333, 0.6667, 0.7500).

Record 8
The following is a PBE-GGA calculation of a geometry-optimized CdAg5Sn structure, from the Alexandria database.

The value obtained for the final energy is -68.6 eV/cell. The value obtained for the density of states at the Fermi level is 11.38 states/eV per cell. The calculation puts the mass density at 7.0 Mg/m³.

It has space group C2/c (No. 15), with a = 11.1965 Å, b = 7.9484 Å, c = 9.8667 Å, α = 90.00°, β = 123.09° and γ = 90.00°. The distinct sites, in fractional coordinates, are Cd at (0.0000, 0.2189, 0.2500), Ag at (0.0000, 0.3965, 0.7500), Ag at (0.2405, 0.0892, 0.5474), Ag at (0.2415, 0.3717, 0.7216) and Sn at (0.2500, 0.2500, 0.0000).

Record 9
The following is a PBE-GGA calculation of a geometry-optimized Cd4Ag2Sn structure, from the Alexandria database.

The value obtained for the final energy is -26.4 eV/cell. The value obtained for the density of states at the Fermi level is 3.13 states/eV per cell. The calculation puts the mass density at 8.4 Mg/m³.

It has space group P2_1/m (No. 11), with a = 7.8320 Å, b = 5.7363 Å, c = 7.9002 Å, α = 90.00°, β = 119.32° and γ = 90.00°. The distinct sites, in fractional coordinates, are Cd at (0.0954, 0.2500, 0.0137), Cd at (0.1188, 0.0009, 0.3830), Cd at (0.2745, 0.7500, 0.9866), Ag at (0.2661, 0.2500, 0.7605), Ag at (0.4813, 0.7500, 0.4052) and Sn at (0.4741, 0.7500, 0.7631).

Record 10
The following is a PBE-GGA calculation of a geometry-optimized Cd5Ag12Sn2 structure, from the Alexandria database.

The value obtained for the final energy is -89.2 eV/cell. The value obtained for the density of states at the Fermi level is 11.88 states/eV per cell. The calculation puts the mass density at 8.3 Mg/m³.

It has space group C2/m (No. 12), with a = 15.9121 Å, b = 5.8385 Å, c = 9.4287 Å, α = 90.00°, β = 106.50° and γ = 90.00°. The distinct sites, in fractional coordinates, are Cd at (0.0000, 0.0000, 0.0000), Cd at (0.1321, 0.5000, 0.3651), Cd at (0.1955, 0.5000, 0.8738), Ag at (0.0197, 0.5000, 0.8643), Ag at (0.1374, 0.0000, 0.8369), Ag at (0.1511, 0.2577, 0.1129), Ag at (0.2043, 0.2418, 0.6193) and Sn at (0.0000, 0.2463, 0.5000).

Record 11
The following is a PBE-GGA calculation of a geometry-optimized CdAgSn2 structure, from the Alexandria database.

The value obtained for the final energy is -45.5 eV/cell. The value obtained for the density of states at the Fermi level is 6.14 states/eV per cell. The calculation puts the mass density at 7.5 Mg/m³.

It has space group I-42d (No. 122), with a = 4.4714 Å, b = 4.4714 Å, c = 20.2147 Å, α = 90.00°, β = 90.00° and γ = 90.00°. The distinct sites, in fractional coordinates, are Cd at (0.0000, 0.0000, 0.0000), Ag at (0.0000, 0.0000, 0.5000) and Sn at (0.2414, 0.2500, 0.6250).

Record 12
The following is a PBE-GGA calculation of a geometry-optimized Cd6Ag2Sn structure, from the Alexandria database.

The value obtained for the final energy is -29.1 eV/cell. The value obtained for the density of states at the Fermi level is 5.55 states/eV per cell. The calculation puts the mass density at 7.9 Mg/m³.

It has space group C2/m (No. 12), with a = 10.1252 Å, b = 8.6288 Å, c = 5.0040 Å, α = 90.00°, β = 104.89° and γ = 90.00°. The distinct sites, in fractional coordinates, are Cd at (0.0857, 0.1838, 0.2946), Cd at (0.1623, 0.5000, 0.5943), Ag at (0.1788, 0.0000, 0.8338) and Sn at (0.0000, 0.5000, 0.0000).